(1)
The following is a PBE calculation of La2MnHgN after structural relaxation, from the Alexandria database.

Computed properties:
* polymorph energy (0 for the lowest one): 0.0 meV/atom
* magnetic moment: 0.86 μB per cell
* energy: -6.155 eV per atom
* D(E_F): 0.99 states/eV/atom
* calculated density: 8.4 g/cm³
* E_form (uncorrected): -625 meV/atom

Cell and atoms, written as POSCAR:
```
La2MnHgN
1.0
5.390 0.000 0.000
0.000 5.390 0.000
0.000 0.000 3.718
Hg Mn La N
1 1 2 1
direct
0.500 0.500 0.500
0.000 0.000 0.500
0.500 0.000 0.000
0.000 0.500 0.000
0.000 0.000 0.000
```

***

(2)
The following is a PBE calculation of LaNdMnHg after structural relaxation, from the Alexandria database.

Computed properties:
* magnetic moment: 3.29 μB per cell
* energy: -4.846 eV per atom
* D(E_F): 1.21 states/eV/atom
* calculated density: 8.1 g/cm³
* energy of formation: -0.05 eV per atom

Cell and atoms, written as POSCAR:
```
LaNdMnHg
1.0
-1.614 0.354 -5.116
0.904 -4.072 -3.392
-4.100 -3.011 -1.739
Mn Nd La Hg
1 1 1 1
direct
0.000 0.000 0.000
0.250 0.250 0.250
0.750 0.750 0.750
0.500 0.500 0.500
```

***

(3)
The following is a PBE calculation of LaPrMnHg after structural relaxation, from the Alexandria database.

Computed properties:
* magnetic moment: 3.31 μB per cell
* energy: -4.846 eV per atom
* D(E_F): 1.18 states/eV/atom
* calculated density: 8.0 g/cm³
* energy of formation: -0.05 eV per atom

Cell and atoms, written as POSCAR:
```
LaPrMnHg
1.0
5.395 0.000 0.000
2.697 4.672 0.000
2.697 1.557 4.405
Hg La Mn Pr
1 1 1 1
direct
0.250 0.250 0.250
0.000 0.000 0.000
0.750 0.750 0.750
0.500 0.500 0.500
```

***

(4)
The following is a PBE calculation of LaMnSi2Hg after structural relaxation, from the Alexandria database.

Computed properties:
* magnetic moment: 0.00 μB per cell
* energy: -5.217 eV per atom
* D(E_F): 0.64 states/eV/atom
* calculated density: 7.3 g/cm³
* E_form (uncorrected): -168 meV/atom

Cell and atoms, written as POSCAR:
```
LaMnSi2Hg
1.0
-0.654 -3.353 -2.908
0.533 -3.357 3.751
-4.413 0.178 0.787
Mn La Si Hg
1 1 2 1
direct
0.000 0.000 0.000
0.500 0.500 0.500
0.000 0.000 0.500
0.500 0.000 0.000
0.000 0.500 0.000
```

***

(5)
The following is a PBE calculation of LaTbMnHg after structural relaxation, from the Alexandria database.

Computed properties:
* magnetic moment: 3.15 μB per cell
* energy: -4.818 eV per atom
* D(E_F): 1.39 states/eV/atom
* calculated density: 8.7 g/cm³
* energy of formation: -0.06 eV per atom

Cell and atoms, written as POSCAR:
```
LaTbMnHg
1.0
5.299 0.000 0.000
2.650 4.589 0.000
2.650 1.530 4.327
Mn Tb Hg La
1 1 1 1
direct
0.000 0.000 0.000
0.250 0.250 0.250
0.500 0.500 0.500
0.750 0.750 0.750
```

***

(6)
The following is a PBE calculation of La2HgMo after structural relaxation, from the Alexandria database.

Computed properties:
* magnetic moment: 0.00 μB per cell
* energy: -5.115 eV per atom
* D(E_F): 0.67 states/eV/atom
* calculated density: 8.9 g/cm³
* energy of formation: 0.13 eV per atom

Cell and atoms, written as POSCAR:
```
La2HgMo
1.0
5.038 0.000 0.000
0.000 3.725 -0.009
0.000 1.454 5.725
Mo La Hg
1 2 1
direct
0.000 0.633 0.384
0.500 0.276 0.354
0.000 0.002 0.970
0.500 0.589 0.793
```

***

(7)
The following is a PBE calculation of La2HgMo after structural relaxation, from the Alexandria database.

Computed properties:
* magnetic moment: 0.00 μB per cell
* energy: -4.900 eV per atom
* D(E_F): 0.72 states/eV/atom
* calculated density: 8.9 g/cm³
* energy of formation: 0.35 eV per atom

Cell and atoms, written as POSCAR:
```
La2HgMo
1.0
8.267 0.000 0.000
0.000 8.267 0.000
4.134 4.134 3.136
Hg Mo La
2 2 4
direct
0.000 0.000 0.000
0.750 0.250 0.500
0.250 0.750 0.500
0.500 0.500 0.000
0.180 0.625 0.250
0.875 0.820 0.750
0.570 0.125 0.250
0.375 0.430 0.750
```

***

(8)
The following is a PBE calculation of LaHgMo after structural relaxation, from the Alexandria database.

Computed properties:
* polymorph energy (0 for the lowest one): 43.9 meV/atom
* magnetic moment: 0.00 μB per cell
* energy: -4.883 eV per atom
* D(E_F): 1.21 states/eV/atom
* calculated density: 10.3 g/cm³
* energy of formation: 0.47 eV per atom

Cell and atoms, written as POSCAR:
```
LaHgMo
1.0
-1.852 4.487 1.654
-2.901 -4.221 0.252
1.094 -0.584 2.810
Hg La Mo
1 1 1
direct
0.000 0.000 0.834
0.667 0.333 0.333
0.333 0.667 0.832
```

***

(9)
The following is a PBE calculation of La2HgMo after structural relaxation, from the Alexandria database.

Computed properties:
* magnetic moment: 0.03 μB per cell
* energy: -4.994 eV per atom
* D(E_F): 1.15 states/eV/atom
* calculated density: 9.5 g/cm³
* energy of formation: 0.25 eV per atom

Cell and atoms, written as POSCAR:
```
La2HgMo
1.0
-0.976 5.625 0.725
-2.486 1.029 5.087
4.668 -2.994 -1.538
Mo La Hg
1 2 1
direct
0.500 0.500 0.000
0.000 0.000 0.000
0.250 0.750 0.500
0.750 0.250 0.500
```

***

(10)
The following is a PBE calculation of LaHgMo after structural relaxation, from the Alexandria database.

Computed properties:
* polymorph energy (0 for the lowest one): 8.5 meV/atom
* magnetic moment: 0.00 μB per cell
* energy: -4.918 eV per atom
* D(E_F): 1.19 states/eV/atom
* calculated density: 10.6 g/cm³
* energy of formation: 0.44 eV per atom

Cell and atoms, written as POSCAR:
```
LaHgMo
1.0
-6.549 -2.758 -2.036
-4.643 -5.168 -2.524
-1.000 -1.324 2.632
Mo La Hg
1 1 1
direct
0.658 0.658 0.342
0.327 0.327 0.673
0.015 0.015 0.985
```

***

(11)
The following is a PBE calculation of La2HgMo after structural relaxation, from the Alexandria database.

Computed properties:
* magnetic moment: 0.00 μB per cell
* energy: -4.831 eV per atom
* D(E_F): 1.22 states/eV/atom
* calculated density: 9.0 g/cm³
* energy of formation: 0.42 eV per atom

Cell and atoms, written as POSCAR:
```
La2HgMo
1.0
-2.537 -1.548 1.426
2.808 -1.723 0.135
2.375 4.593 9.210
Mo La Hg
1 2 1
direct
0.000 0.000 0.505
0.000 0.000 0.973
0.500 0.500 0.307
0.500 0.500 0.715
```

***

(12)
The following is a PBE calculation of LaHgMo after structural relaxation, from the Alexandria database.

Computed properties:
* polymorph energy (0 for the lowest one): 0.0 meV/atom
* magnetic moment: 0.00 μB per cell
* energy: -4.927 eV per atom
* D(E_F): 1.33 states/eV/atom
* calculated density: 10.1 g/cm³
* energy of formation: 0.43 eV per atom

Cell and atoms, written as POSCAR:
```
LaHgMo
1.0
6.210 0.094 0.016
4.065 4.697 -0.016
-4.936 -2.827 2.494
Hg La Mo
1 1 1
direct
0.028 0.028 0.000
0.324 0.324 0.000
0.648 0.648 0.000
```

***

(13)
The following is a PBE calculation of LaHg4Mo after structural relaxation, from the Alexandria database.

Computed properties:
* magnetic moment: 2.90 μB per cell
* energy: -2.551 eV per atom
* D(E_F): 0.48 states/eV/atom
* calculated density: 12.0 g/cm³
* energy of formation: 0.28 eV per atom

Cell and atoms, written as POSCAR:
```
LaHg4Mo
1.0
5.649 -1.060 1.187
3.308 4.164 2.482
1.769 -0.587 5.565
Mo Hg La
1 4 1
direct
0.000 0.000 0.000
0.374 0.877 0.374
0.374 0.374 0.877
0.374 0.374 0.374
0.877 0.374 0.374
0.750 0.750 0.750
```

***

(14)
The following is a PBE calculation of LaHgMo after structural relaxation, from the Alexandria database.

Computed properties:
* polymorph energy (0 for the lowest one): 644.7 meV/atom
* magnetic moment: 3.17 μB per cell
* energy: -4.282 eV per atom
* D(E_F): 0.40 states/eV/atom
* calculated density: 7.9 g/cm³
* energy of formation: 1.07 eV per atom

Cell and atoms, written as POSCAR:
```
LaHgMo
1.0
-2.988 -2.437 3.264
1.733 -4.051 2.472
0.925 0.272 4.959
Mo La Hg
1 1 1
direct
0.000 0.000 0.000
0.750 0.750 0.750
0.500 0.500 0.500
```

***

(15)
The following is a PBE calculation of LaHgMo after structural relaxation, from the Alexandria database.

Computed properties:
* polymorph energy (0 for the lowest one): 235.0 meV/atom
* magnetic moment: 2.94 μB per cell
* energy: -4.692 eV per atom
* D(E_F): 0.57 states/eV/atom
* calculated density: 8.6 g/cm³
* energy of formation: 0.66 eV per atom

Cell and atoms, written as POSCAR:
```
LaHgMo
1.0
-1.656 2.163 -4.083
-4.688 1.422 -0.295
-1.122 4.778 0.036
La Hg Mo
1 1 1
direct
0.500 0.500 0.500
0.000 0.000 0.000
0.750 0.750 0.750
```